Compound: ZnBAsSe2
Source: the Alexandria database
Functional: PBE
Structure: optimized geometry

Lattice parameters (Å, degrees): 4.774 4.774 4.027 90.00 90.00 90.00
Fractional coordinates of all 5 atoms:
Zn1 0.000 0.000 0.000
B1 0.500 0.500 0.500
As1 0.500 0.500 0.000
Se1 0.000 0.500 0.500
Se2 0.500 0.000 0.500

## Properties
As for the energy above the most stable polymorph in this dataset: 0.0 kJ per mole of atoms. For the formation energy from raw total energies, the calculation gives 66.5 kJ/mol of atoms. The value obtained for the total magnetic moment is 0.0 μB per cell. The symmetry is P4/mmm, No. 123. As for the density of states at the Fermi level: 2.93 states/eV per cell. The value obtained for the calculated density is 5.6 g/cm³. As for the calculated total energy: -3.225 eV/atom.

***

Compound: ZnBAs2Se
Source: the Alexandria database
Functional: PBE
Structure: optimized geometry

Lattice parameters (Å, degrees): 4.763 4.763 5.059 90.00 90.00 90.00
Fractional coordinates of all 5 atoms:
Zn1 0.000 0.000 0.000
B1 0.500 0.500 0.500
As1 0.000 0.500 0.000
As2 0.500 0.000 0.000
Se1 0.000 0.000 0.500

## Properties
As for the energy above the most stable polymorph in this dataset: 67.4 kJ per mole of atoms. For the formation energy from raw total energies, the calculation gives 140.6 kJ/mol of atoms. The value obtained for the total magnetic moment is 0.0 μB per cell. The symmetry is P4/mmm, No. 123. As for the density of states at the Fermi level: 3.77 states/eV per cell. The value obtained for the calculated density is 4.4 g/cm³. As for the calculated total energy: -2.690 eV/atom.

***

Compound: ZrBAsSe2
Source: the Alexandria database
Functional: PBE
Structure: optimized geometry

Lattice parameters (Å, degrees): 5.192 5.192 5.254 90.00 90.00 90.00
Fractional coordinates of all 5 atoms:
Zr1 0.000 0.000 0.000
B1 0.500 0.500 0.500
As1 0.000 0.000 0.500
Se1 0.000 0.500 0.000
Se2 0.500 0.000 0.000

## Properties
As for the energy above the most stable polymorph in this dataset: 46.4 kJ per mole of atoms. For the formation energy from raw total energies, the calculation gives 71.9 kJ/mol of atoms. The value obtained for the total magnetic moment is 0.0 μB per cell. The symmetry is P4/mmm, No. 123. As for the density of states at the Fermi level: 4.69 states/eV per cell. The value obtained for the calculated density is 3.9 g/cm³. As for the calculated total energy: -4.623 eV/atom.

***

Compound: ZrBAsSe2
Source: the Alexandria database
Functional: PBE
Structure: optimized geometry

Lattice parameters (Å, degrees): 4.518 4.518 4.379 90.00 90.00 90.00
Fractional coordinates of all 5 atoms:
Zr1 0.000 0.000 0.000
B1 0.500 0.500 0.500
As1 0.500 0.500 0.000
Se1 0.000 0.500 0.500
Se2 0.500 0.000 0.500

## Properties
As for the energy above the most stable polymorph in this dataset: 0.0 kJ per mole of atoms. For the formation energy from raw total energies, the calculation gives 25.5 kJ/mol of atoms. The value obtained for the total magnetic moment is 0.0 μB per cell. The symmetry is P4/mmm, No. 123. As for the density of states at the Fermi level: 3.48 states/eV per cell. The value obtained for the calculated density is 6.2 g/cm³. As for the calculated total energy: -5.104 eV/atom.

***

Compound: Si3BAs
Source: the Alexandria database
Functional: PBE
Structure: optimized geometry

Lattice parameters (Å, degrees): 4.209 4.209 4.209 90.00 90.00 90.00
Fractional coordinates of all 5 atoms:
Si1 0.000 0.000 0.500
Si2 0.000 0.500 0.000
Si3 0.500 0.000 0.000
B1 0.000 0.000 0.000
As1 0.500 0.500 0.500

## Properties
As for the energy above the most stable polymorph in this dataset: 0.0 kJ per mole of atoms. For the formation energy from raw total energies, the calculation gives 64.8 kJ/mol of atoms. The value obtained for the total magnetic moment is 0.0 μB per cell. The symmetry is Pm-3m, No. 221. As for the density of states at the Fermi level: 2.26 states/eV per cell. The value obtained for the calculated density is 3.8 g/cm³. As for the calculated total energy: -4.848 eV/atom.

***

Compound: SiBAs3
Source: the Alexandria database
Functional: PBE
Structure: optimized geometry

Lattice parameters (Å, degrees): 4.408 4.408 4.408 90.00 90.00 90.00
Fractional coordinates of all 5 atoms:
Si1 0.000 0.000 0.000
B1 0.500 0.500 0.500
As1 0.000 0.500 0.500
As2 0.500 0.000 0.500
As3 0.500 0.500 0.000

## Properties
As for the energy above the most stable polymorph in this dataset: 0.0 kJ per mole of atoms. For the formation energy from raw total energies, the calculation gives 85.3 kJ/mol of atoms. The value obtained for the total magnetic moment is 0.0 μB per cell. The symmetry is Pm-3m, No. 221. As for the density of states at the Fermi level: 4.09 states/eV per cell. The value obtained for the calculated density is 5.1 g/cm³. As for the calculated total energy: -4.326 eV/atom.

***

Compound: Si3BAs
Source: the Alexandria database
Functional: PBE
Structure: optimized geometry

Lattice parameters (Å, degrees): 4.766 4.766 4.766 90.00 90.00 90.00
Fractional coordinates of all 5 atoms:
Si1 0.000 0.000 0.500
Si2 0.000 0.500 0.000
Si3 0.500 0.000 0.000
B1 0.500 0.500 0.500
As1 0.000 0.000 0.000

## Properties
As for the energy above the most stable polymorph in this dataset: 118.0 kJ per mole of atoms. For the formation energy from raw total energies, the calculation gives 182.8 kJ/mol of atoms. The value obtained for the total magnetic moment is 0.0 μB per cell. The symmetry is Pm-3m, No. 221. As for the density of states at the Fermi level: 3.02 states/eV per cell. The value obtained for the calculated density is 2.6 g/cm³. As for the calculated total energy: -3.625 eV/atom.

***

Compound: SiB3As
Source: the Alexandria database
Functional: PBE
Structure: optimized geometry

Lattice parameters (Å, degrees): 4.108 4.108 4.108 90.00 90.00 90.00
Fractional coordinates of all 5 atoms:
Si1 0.000 0.000 0.000
B1 0.000 0.500 0.500
B2 0.500 0.000 0.500
B3 0.500 0.500 0.000
As1 0.500 0.500 0.500

## Properties
As for the energy above the most stable polymorph in this dataset: 38.8 kJ per mole of atoms. For the formation energy from raw total energies, the calculation gives 188.9 kJ/mol of atoms. The value obtained for the total magnetic moment is 0.0 μB per cell. The symmetry is Pm-3m, No. 221. As for the density of states at the Fermi level: 2.30 states/eV per cell. The value obtained for the calculated density is 3.2 g/cm³. As for the calculated total energy: -4.063 eV/atom.

***

Please write out number 6 again, unchanged.
Compound: SiBAs3
Source: the Alexandria database
Functional: PBE
Structure: optimized geometry

Lattice parameters (Å, degrees): 4.408 4.408 4.408 90.00 90.00 90.00
Fractional coordinates of all 5 atoms:
Si1 0.000 0.000 0.000
B1 0.500 0.500 0.500
As1 0.000 0.500 0.500
As2 0.500 0.000 0.500
As3 0.500 0.500 0.000

## Properties
As for the energy above the most stable polymorph in this dataset: 0.0 kJ per mole of atoms. For the formation energy from raw total energies, the calculation gives 85.3 kJ/mol of atoms. The value obtained for the total magnetic moment is 0.0 μB per cell. The symmetry is Pm-3m, No. 221. As for the density of states at the Fermi level: 4.09 states/eV per cell. The value obtained for the calculated density is 5.1 g/cm³. As for the calculated total energy: -4.326 eV/atom.

***

Question: Which of these has the lowest calculated total energy?
Answer: number 4

***

Question: Which formula does entry 4 have?
Answer: ZrBAsSe2

***

Question: Number 5 is which compound?
Answer: Si3BAs